Record 1
An optimized crystal structure of HoErZnFe. Source: Alexandria, functional PBE-GGA.

Cell lengths 4.860, 4.860, 4.860 Å; angles 60.00, 60.00, 60.00 degrees
Last column: magnetic moment on the atom in μB.
Element x y z (fractional)
Ho: 0.750 0.750 0.750  -0.22
Fe: 0.500 0.500 0.500  1.64
Zn: 0.000 0.000 0.000  -0.02
Er: 0.250 0.250 0.250  -0.23

## Properties
- mass density (g cm⁻³) = 9.28
- formation energy from the elements (eV per formula unit) = -0.4
- space-group type = F-43m, No. 216
- total energy (eV/f.u.) = -19.25

=====

Record 2
An optimized crystal structure of La2GaSe. Source: Alexandria, functional PBE-GGA.

Cell lengths 3.632, 3.632, 8.029 Å; angles 90.00, 90.00, 90.00 degrees
Element x y z (fractional)
La: 0.000 0.000 0.243
La: 0.000 0.000 0.757
Se: 0.500 0.500 0.000
Ga: 0.500 0.500 0.500

## Properties
- mass density (g cm⁻³) = 6.69
- space-group type = P4/mmm, No. 123
- energy above the lowest structure with this stoichiometry (meV per atom) = 179.4
- total energy (eV/f.u.) = -20.82
- ΔE_f (raw) (eV/atom) = -1.113

=====

Record 3
An optimized crystal structure of TaOs. Source: Alexandria, functional PBE-GGA.

Cell lengths 4.474, 4.474, 7.940 Å; angles 90.00, 90.00, 120.00 degrees
Element x y z (fractional)
Ta: 0.333 0.667 0.077
Ta: 0.667 0.333 0.923
Ta: 0.667 0.333 0.577
Ta: 0.333 0.667 0.423
Os: 0.000 0.000 0.750
Os: 0.667 0.333 0.250
Os: 0.000 0.000 0.250
Os: 0.333 0.667 0.750

## Properties
- mass density (g cm⁻³) = 17.91
- formation energy from the elements (eV per formula unit) = 0.4
- space-group type = P6_3/mmc, No. 194
- total energy (eV/f.u.) = -22.67

=====

Record 4
An optimized crystal structure of LiZnCrGe. Source: Alexandria, functional PBE-GGA.

Cell lengths 4.358, 4.358, 4.358 Å; angles 60.00, 60.00, 60.00 degrees
Last column: magnetic moment on the atom in μB.
Element x y z (fractional)
Ge: 0.250 0.250 0.250  -0.09
Zn: 0.750 0.750 0.750  0.02
Li: 0.000 0.000 0.000  -0.02
Cr: 0.500 0.500 0.500  3.23

## Properties
- mass density (g cm⁻³) = 5.59
- formation energy from the elements (eV per formula unit) = -0.3
- space-group type = F-43m, No. 216
- total energy (eV/f.u.) = -17.68

=====

Record 5
An optimized crystal structure of Hf3NbF. Source: Alexandria, functional PBE-GGA.

Cell lengths 4.527, 4.527, 4.527 Å; angles 90.00, 90.00, 90.00 degrees
Element x y z (fractional)
F: 0.000 0.000 0.000
Hf: 0.000 0.000 0.500
Hf: 0.000 0.500 0.000
Hf: 0.500 0.000 0.000
Nb: 0.500 0.500 0.500

## Properties
- mass density (g cm⁻³) = 11.58
- space-group type = Pm-3m, No. 221
- energy above the lowest structure with this stoichiometry (meV per atom) = 0.0
- total energy (eV/f.u.) = -43.99
- ΔE_f (raw) (eV/atom) = -0.438

=====

Record 6
An optimized crystal structure of Sr2ReP. Source: Alexandria, functional PBE-GGA.

Cell lengths 11.187, 11.187, 8.221 Å; angles 47.13, 47.13, 90.00 degrees
Last column: magnetic moment on the atom in μB.
Element x y z (fractional)
Re: 0.000 0.000 0.000  0.59
Re: 0.750 0.250 0.500  0.59
P: 0.250 0.750 0.500  -0.02
P: 0.500 0.500 0.000  -0.02
Sr: 0.450 0.125 0.250  -0.01
Sr: 0.375 0.550 0.750  -0.01
Sr: 0.875 0.700 0.750  -0.01
Sr: 0.300 0.625 0.250  -0.01

## Properties
- mass density (g cm⁻³) = 4.65
- formation energy from the elements (eV per formula unit) = 0.5
- space-group type = I-42d, No. 122
- total energy (eV/f.u.) = -20.73

=====

Record 7
An optimized crystal structure of K2Sc2Rh. Source: Alexandria, functional PBE-GGA.

Cell lengths 7.187, 7.187, 5.555 Å; angles 90.00, 90.00, 90.00 degrees
Last column: magnetic moment on the atom in μB.
Element x y z (fractional)
Sc: 0.695 0.805 0.500  0.39
Sc: 0.195 0.695 0.500  0.42
Sc: 0.305 0.195 0.500  0.39
Sc: 0.805 0.305 0.500  0.42
K: 0.136 0.364 0.000  0.02
K: 0.864 0.636 0.000  0.02
K: 0.636 0.136 0.000  0.02
K: 0.364 0.864 0.000  0.02
Rh: 0.000 0.000 0.000  -0.05
Rh: 0.500 0.500 0.000  -0.05

## Properties
- mass density (g cm⁻³) = 3.14
- formation energy from the elements (eV per formula unit) = 5.4
- space-group type = P4/mbm, No. 127
- total energy (eV/f.u.) = -16.84

=====

Record 8
An optimized crystal structure of PrPbN. Source: Alexandria, functional PBE-GGA.

Cell lengths 4.063, 6.269, 11.863 Å; angles 90.00, 90.00, 90.00 degrees
Element x y z (fractional)
Pb: 0.750 0.686 0.044
Pb: 0.250 0.314 0.956
Pb: 0.250 0.186 0.456
Pb: 0.750 0.814 0.544
Pr: 0.250 0.691 0.309
Pr: 0.750 0.309 0.691
Pr: 0.750 0.191 0.191
Pr: 0.250 0.809 0.809
N: 0.750 0.564 0.228
N: 0.250 0.436 0.772
N: 0.250 0.064 0.272
N: 0.750 0.936 0.728

## Properties
- mass density (g cm⁻³) = 7.96
- space-group type = Pnma, No. 62
- total energy (eV/f.u.) = -18.62
- ΔE_f (raw) (eV/atom) = -0.601

=====

Record 9
An optimized crystal structure of ScV4Si4. Source: Alexandria, functional PBE-GGA.

Cell lengths 4.724, 8.002, 8.002 Å; angles 90.00, 90.00, 90.00 degrees
Element x y z (fractional)
Si: 0.409 0.664 0.814
Si: 0.091 0.164 0.314
Si: 0.909 0.314 0.836
Si: 0.091 0.836 0.686
Si: 0.409 0.336 0.186
Si: 0.591 0.186 0.664
Si: 0.909 0.686 0.164
Si: 0.591 0.814 0.336
V: 0.896 0.620 0.872
V: 0.104 0.872 0.380
V: 0.104 0.128 0.620
V: 0.396 0.628 0.120
V: 0.604 0.120 0.372
V: 0.396 0.372 0.880
V: 0.604 0.880 0.628
V: 0.896 0.380 0.128
Sc: 0.000 0.000 0.000
Sc: 0.500 0.500 0.500

## Properties
- mass density (g cm⁻³) = 3.96
- space-group type = P4_2/n, No. 86
- total energy (eV/f.u.) = -66.50
- ΔE_f (raw) (eV/atom) = -0.222

=====

Record 10
An optimized crystal structure of Ac3Hg2Ir. Source: Alexandria, functional PBE-GGA.

Cell lengths 7.963, 8.303, 7.669 Å; angles 81.79, 58.72, 74.04 degrees
Element x y z (fractional)
Hg: 0.000 0.000 0.000
Hg: 0.500 0.500 0.000
Hg: 0.868 0.500 0.264
Hg: 0.132 0.500 0.736
Ac: 0.443 0.778 0.634
Ac: 0.303 0.197 0.000
Ac: 0.557 0.222 0.366
Ac: 0.697 0.803 0.000
Ac: 0.078 0.778 0.366
Ac: 0.922 0.222 0.634
Ir: 0.673 0.000 0.654
Ir: 0.327 0.000 0.346

## Properties
- mass density (g cm⁻³) = 10.16
- formation energy from the elements (eV per formula unit) = -3.2
- space-group type = C2/m, No. 12
- energy above the lowest structure with this stoichiometry (meV per atom) = 0.0
- total energy (eV/f.u.) = -25.04

=====

Record 11
An optimized crystal structure of Pr5Er2Tm6. Source: Alexandria, functional PBE-GGA.

Cell lengths 3.592, 11.606, 20.517 Å; angles 90.00, 90.00, 90.00 degrees
Element x y z (fractional)
Pr: 0.500 0.198 0.949
Pr: 0.500 0.418 0.728
Pr: 0.500 0.582 0.272
Pr: 0.500 0.082 0.228
Pr: 0.500 0.918 0.772
Pr: 0.500 0.500 0.000
Pr: 0.500 0.802 0.051
Pr: 0.500 0.302 0.449
Pr: 0.500 0.698 0.551
Pr: 0.500 0.000 0.500
Er: 0.000 0.328 0.289
Er: 0.000 0.172 0.789
Er: 0.000 0.828 0.211
Er: 0.000 0.672 0.711
Tm: 0.000 0.920 0.632
Tm: 0.500 0.324 0.139
Tm: 0.000 0.937 0.919
Tm: 0.000 0.580 0.132
Tm: 0.000 0.437 0.581
Tm: 0.000 0.563 0.419
Tm: 0.000 0.420 0.868
Tm: 0.500 0.176 0.639
Tm: 0.000 0.063 0.081
Tm: 0.000 0.080 0.368
Tm: 0.500 0.824 0.361
Tm: 0.500 0.676 0.861

## Properties
- mass density (g cm⁻³) = 7.97
- formation energy from the elements (eV per formula unit) = 1.3
- space-group type = Pbam, No. 55
- total energy (eV/f.u.) = -58.58

=====

Record 12
An optimized crystal structure of NpGeI6. Source: Alexandria, functional PBE-GGA.

Cell lengths 7.956, 7.956, 7.447 Å; angles 98.20, 98.20, 124.11 degrees
Last column: magnetic moment on the atom in μB.
Element x y z (fractional)
Np: 0.500 0.500 0.500  3.39
I: 0.397 0.104 0.248  -0.05
I: 0.896 0.603 0.752  -0.05
I: 0.250 0.250 0.746  -0.05
I: 0.104 0.397 0.248  -0.05
I: 0.603 0.896 0.752  -0.05
I: 0.750 0.750 0.254  -0.05
Ge: 0.000 0.000 0.000  -0.01

## Properties
- mass density (g cm⁻³) = 4.78
- space-group type = C2/m, No. 12
- total energy (eV/f.u.) = -31.39
- ΔE_f (raw) (eV/atom) = -0.566